Computed, not measured: a relaxed structure of LiCoRe2 at the PBE-GGA level of DFT.

Cell: 2.717 2.717 26.725 Å, 90.00 90.00 120.00°
Atoms (fractional coordinates):
Li  0.000  0.000  0.000
Li  0.333  0.667  0.667
Li  0.667  0.333  0.333
Co  0.000  0.000  0.252
Co  0.333  0.667  0.918
Co  0.667  0.333  0.585
Re  0.000  0.000  0.506
Re  0.000  0.000  0.758
Re  0.333  0.667  0.173
Re  0.333  0.667  0.425
Re  0.667  0.333  0.091
Re  0.667  0.333  0.840

Space-group type: No. 160
Spin magnetization (μB/atom): 0.414
Formation energy from the elements (eV per atom): 0.215
DOS at the Fermi energy (states/eV per cell): 6.521
Calculated volume (Å³ per atom): 14.2


Computed, not measured: a relaxed structure of Li2CoRe at the PBE-GGA level of DFT.

Cell: 8.320 2.545 5.033 Å, 90.00 95.82 90.00°
Atoms (fractional coordinates):
Li  0.000  0.000  0.000
Li  0.242  0.000  0.798
Li  0.500  0.500  0.000
Li  0.742  0.500  0.798
Co  0.237  0.500  0.313
Co  0.737  0.000  0.313
Re  0.485  0.000  0.475
Re  0.985  0.500  0.475

Space-group type: No. 8
Spin magnetization (μB/atom): 0.144
Formation energy from the elements (eV per atom): 0.241
DOS at the Fermi energy (states/eV per cell): 6.875
Calculated volume (Å³ per atom): 13.3


Computed, not measured: a relaxed structure of LiCoRe2 at the PBE-GGA level of DFT.

Cell: 2.678 2.678 26.920 Å, 90.00 90.00 120.00°
Atoms (fractional coordinates):
Li  0.000  0.000  0.000
Li  0.333  0.667  0.667
Li  0.667  0.333  0.333
Co  0.000  0.000  0.500
Co  0.333  0.667  0.167
Co  0.667  0.333  0.833
Re  0.000  0.000  0.243
Re  0.000  0.000  0.757
Re  0.333  0.667  0.424
Re  0.333  0.667  0.910
Re  0.667  0.333  0.090
Re  0.667  0.333  0.576

Space-group type: No. 166
Spin magnetization (μB/atom): 0.092
Formation energy from the elements (eV per atom): 0.256
DOS at the Fermi energy (states/eV per cell): 13.258
Calculated volume (Å³ per atom): 13.9


Computed, not measured: a relaxed structure of LiCoRe2 at the PBE-GGA level of DFT.

Cell: 3.034 3.034 5.622 Å, 90.00 90.00 90.00°
Atoms (fractional coordinates):
Li  0.000  0.000  0.000
Co  0.500  0.500  0.796
Re  0.000  0.000  0.519
Re  0.500  0.500  0.259

Space-group type: No. 99
Spin magnetization (μB/atom): 0.215
Formation energy from the elements (eV per atom): 0.256
DOS at the Fermi energy (states/eV per cell): 2.936
Calculated volume (Å³ per atom): 12.9